[1]
The following is a meta-GGA SCAN calculation of Li2ScAl at its PBEsol-relaxed geometry, from the Alexandria database.

a = 2.981 Å, b = 2.981 Å, c = 8.112 Å
α = 90.00°, β = 90.00°, γ = 90.00°
Fractional coordinates of all 4 atoms:
Li 0.000 0.000 0.214
Li 0.000 0.000 0.786
Sc 0.500 0.500 0.500
Al 0.500 0.500 0.000

Values from the calculation:
M_tot = 0.06 μB/cell
theoretical density = 1.98 Mg/m³
ΔH_f (0 K) = 8.13 kJ per mole of atoms
calculated total energy = -6.608 eV/atom

---

[2]
The following is a meta-GGA SCAN calculation of LiSc2Al at its PBEsol-relaxed geometry, from the Alexandria database.

a = 3.292 Å, b = 3.292 Å, c = 7.254 Å
α = 90.00°, β = 90.00°, γ = 90.00°
Fractional coordinates of all 4 atoms:
Li 0.000 0.000 0.000
Sc 0.500 0.500 0.261
Sc 0.500 0.500 0.739
Al 0.000 0.000 0.500

Values from the calculation:
M_tot = 0.03 μB/cell
theoretical density = 2.62 Mg/m³
ΔH_f (0 K) = -17.29 kJ per mole of atoms
calculated total energy = -9.833 eV/atom

---

[3]
The following is a meta-GGA SCAN calculation of LiSc2Al at its PBEsol-relaxed geometry, from the Alexandria database.

a = 3.061 Å, b = 4.116 Å, c = 6.329 Å
α = 90.00°, β = 90.00°, γ = 90.00°
Fractional coordinates of all 4 atoms:
Li 0.000 0.000 0.000
Sc 0.500 0.500 0.264
Sc 0.500 0.500 0.736
Al 0.000 0.000 0.500

Values from the calculation:
M_tot = 0.00 μB/cell
theoretical density = 2.58 Mg/m³
ΔH_f (0 K) = -11.85 kJ per mole of atoms
calculated total energy = -9.777 eV/atom